Computed, not measured: LaTl2Mo after structural relaxation at the PBE level of DFT.

Cell: 7.4021 7.4021 7.4021 Å, 154.69 141.54 46.60°
Atoms (fractional coordinates):
Tl (0.0691, 0.0691, 0.0000)
Tl (0.7490, 0.2490, 0.5000)
Mo (0.2469, 0.7469, 0.5000)
La (0.4349, 0.4349, 0.0000)

Calculated values
**Electronic total energy**: -0.35234 Ry/atom
**ΔH_f (0 K)**: 0.329 eV per atom
**Theoretical density**: 9940 kg/m³
**Energy relative to the lowest polymorph listed for this composition**: 0.019 eV/atom
**M_tot**: 0.00 μB per cell
**Symmetry**: No. 44

---

Computed, not measured: LaTl2Mo after structural relaxation at the PBE level of DFT.

Cell: 5.2301 5.2301 5.2301 Å, 60.00 60.00 60.00°
Site moments in Bohr magnetons follow the coordinates.
Atoms (fractional coordinates):
Tl (0.2500, 0.2500, 0.2500)  -0.02
Tl (0.7500, 0.7500, 0.7500)  -0.02
Mo (0.0000, 0.0000, 0.0000)  2.27
La (0.5000, 0.5000, 0.5000)  -0.02

Calculated values
**Electronic total energy**: -0.35220 Ry/atom
**ΔH_f (0 K)**: 0.331 eV per atom
**Theoretical density**: 10565 kg/m³
**Energy relative to the lowest polymorph listed for this composition**: 0.020 eV/atom
**M_tot**: 2.64 μB per cell
**Symmetry**: No. 225

---

Computed, not measured: LaTlMo3 after structural relaxation at the PBE level of DFT.

Cell: 4.8702 4.8702 4.8702 Å, 90.00 90.00 90.00°
Atoms (fractional coordinates):
Mo (0.0000, 0.5000, 0.0000)
Mo (0.5000, 0.0000, 0.0000)
Mo (0.0000, 0.0000, 0.5000)
La (0.0000, 0.0000, 0.0000)
Tl (0.5000, 0.5000, 0.5000)

Calculated values
**Electronic total energy**: -0.42237 Ry/atom
**ΔH_f (0 K)**: 2.211 eV per atom
**Theoretical density**: 9072 kg/m³
**Energy relative to the lowest polymorph listed for this composition**: 0.187 eV/atom
**M_tot**: 0.00 μB per cell
**Symmetry**: No. 221

---

Computed, not measured: LaTl2Mo after structural relaxation at the PBE level of DFT.

Cell: 10.1016 10.1016 10.1016 Å, 20.18 20.18 20.18°
Atoms (fractional coordinates):
Mo (0.7491, 0.7491, 0.7491)
Tl (0.0122, 0.0122, 0.0122)
Tl (0.2541, 0.2541, 0.2541)
La (0.4846, 0.4846, 0.4846)

Calculated values
**Electronic total energy**: -0.34033 Ry/atom
**ΔH_f (0 K)**: 0.492 eV per atom
**Theoretical density**: 9961 kg/m³
**Energy relative to the lowest polymorph listed for this composition**: 0.182 eV/atom
**M_tot**: 0.00 μB per cell
**Symmetry**: No. 160

---

What is the formula in the first record? LaTl2Mo